[1]
# Cs2PaF7

Cs2PaF7 after structural relaxation (GGA-PBEsol, the Alexandria database).

The structure belongs to space group C2/c (No. 15); the cell edges are 14.3638, 7.2383 and 8.2288 Å and the angles 90.00°, 122.97° and 90.00°. The distinct sites, in fractional coordinates, are Cs at (0.1706, 0.0120, 0.1177), Pa at (0.0000, 0.4719, 0.2500), F at (0.0000, 0.1647, 0.2500), F at (0.0695, 0.3776, 0.0755), F at (0.1065, 0.2970, 0.7895) and F at (0.1640, 0.3797, 0.4754).

As for the uncorrected formation energy: -3.532 eV/atom. The calculation puts the size of the total moment at 0.0 μB per cell.

=====

[2]
# Cs3PbF

Cs3PbF after structural relaxation (GGA-PBEsol, the Alexandria database).

The structure belongs to space group Pm-3m (No. 221); the cell edges are 5.9171, 5.9171 and 5.9171 Å and the angles 90.00°, 90.00° and 90.00°. The distinct sites, in fractional coordinates, are Cs at (0.0000, 0.0000, 0.5000), Pb at (0.5000, 0.5000, 0.5000) and F at (0.0000, 0.0000, 0.0000).

Its energy relative to the lowest polymorph listed for this composition is 0 meV/atom. As for the uncorrected formation energy: -1.057 eV/atom. The calculation puts the size of the total moment at 2.0 μB per cell.

=====

[3]
# CsPbF3

CsPbF3 after structural relaxation (GGA-PBEsol, the Alexandria database).

The structure belongs to space group R3c (No. 161, hexagonal axes); the cell edges are 6.8254, 6.8254 and 16.1240 Å and the angles 90.00°, 90.00° and 120.00°. The distinct sites, in fractional coordinates, are Cs at (0.0000, 0.0000, 0.0000), Pb at (0.0000, 0.0000, 0.2527) and F at (0.0278, 0.4542, 0.0106).

As for the uncorrected formation energy: -2.514 eV/atom. The calculation puts the size of the total moment at 0.0 μB per cell.

=====

[4]
# Cs3PdF

Cs3PdF after structural relaxation (GGA-PBEsol, the Alexandria database).

The structure belongs to space group Pm-3m (No. 221); the cell edges are 5.6410, 5.6410 and 5.6410 Å and the angles 90.00°, 90.00° and 90.00°. The distinct sites, in fractional coordinates, are Cs at (0.0000, 0.0000, 0.5000), Pd at (0.5000, 0.5000, 0.5000) and F at (0.0000, 0.0000, 0.0000).

As for the uncorrected formation energy: -0.952 eV/atom. The calculation puts the size of the total moment at 0.0 μB per cell.

=====

Look up the uncorrected formation energy of the fourth one. -0.952 eV/atom